A relaxed Ac3Ge5S12 crystal, computed with GGA-PBE.

a b c (Å): 13.7540 13.7540 13.7540
angles (deg): 109.47 109.47 109.47
Closest atoms and distances in Å follow each position.
Element x y z (fractional)
1 S 0.0242 0.4024 0.8123  1 Ge 2.29
2 S 0.7119 0.5901 0.1877  1 Ge 2.29
3 S 0.6877 0.2119 0.5901  1 Ge 2.29
4 Ge 0.2500 0.3750 0.6250  4 S 2.29
5 S 0.9099 0.8123 0.7881  1 Ge 2.29
6 S 0.4099 0.1218 0.5976  1 Ge 2.29
7 S 0.2881 0.8782 0.9758  1 Ge 2.29
8 S 0.0976 0.1877 0.4758  1 Ge 2.29
9 Ge 0.0000 0.0000 0.5000  6 S 2.67
10 Ge 0.5000 0.5000 0.5000  6 S 2.67
11 S 0.2119 0.6877 0.0901  1 Ge 2.29
12 S 0.4099 0.2881 0.3123  1 Ge 2.29
13 S 0.7881 0.4758 0.3782  1 Ge 2.29
14 Ge 0.0000 0.5000 0.5000  6 S 2.67
15 S 0.8782 0.5901 0.9024  1 Ge 2.29
16 Ge 0.5000 0.5000 0.0000  6 S 2.67
17 S 0.3123 0.5242 0.4024  1 Ge 2.29
18 S 0.9024 0.8123 0.5242  1 Ge 2.29
19 S 0.6877 0.4758 0.5976  1 Ge 2.29
20 S 0.0976 0.9099 0.1218  1 Ge 2.29
21 Ge 0.5000 0.0000 0.0000  6 S 2.67
22 S 0.1877 0.0976 0.9758  1 Ge 2.29
23 S 0.5242 0.2119 0.1218  1 Ge 2.29
24 S 0.4024 0.0242 0.3123  1 Ge 2.29
25 S 0.5901 0.8782 0.4024  1 Ge 2.29
26 S 0.3782 0.9758 0.7881  1 Ge 2.29
27 S 0.2119 0.5242 0.6218  1 Ge 2.29
28 S 0.3123 0.7881 0.4099  1 Ge 2.29
29 Ac 0.3750 0.6250 0.2500  8 S 3.07-3.14
30 Ge 0.6250 0.8750 0.2500  4 S 2.29
31 Ge 0.7500 0.6250 0.3750  4 S 2.29
32 S 0.7881 0.3123 0.9099  1 Ge 2.29
33 Ge 0.1250 0.7500 0.3750  4 S 2.29
34 Ge 0.7500 0.1250 0.8750  4 S 2.29
35 Ge 0.8750 0.2500 0.6250  4 S 2.29
36 Ac 0.6250 0.3750 0.7500  8 S 3.07-3.14
37 S 0.6218 0.5976 0.9099  1 Ge 2.29
38 Ac 0.6250 0.2500 0.3750  8 S 3.07-3.14
39 Ge 0.0000 0.5000 0.0000  6 S 2.67
40 Ac 0.3750 0.7500 0.6250  8 S 3.07-3.14
41 S 0.5242 0.3123 0.9024  1 Ge 2.29
42 S 0.0901 0.1877 0.2119  1 Ge 2.29
43 Ac 0.2500 0.6250 0.8750  8 S 3.07-3.14
44 S 0.5976 0.6218 0.4099  1 Ge 2.29
45 Ac 0.7500 0.8750 0.6250  8 S 3.07-3.14
46 S 0.4758 0.7881 0.8782  1 Ge 2.29
47 Ac 0.1250 0.2500 0.8750  8 S 3.07-3.14
48 S 0.4024 0.3782 0.5901  1 Ge 2.29
49 Ge 0.3750 0.2500 0.1250  4 S 2.29
50 Ac 0.1250 0.8750 0.7500  8 S 3.07-3.14
51 S 0.5976 0.9758 0.6877  1 Ge 2.29
52 Ac 0.8750 0.1250 0.2500  8 S 3.07-3.14
53 Ge 0.3750 0.1250 0.7500  4 S 2.29
54 S 0.3782 0.4024 0.0901  1 Ge 2.29
55 Ac 0.2500 0.1250 0.3750  8 S 3.07-3.14
56 S 0.8123 0.9024 0.0242  1 Ge 2.29
57 S 0.2881 0.4099 0.8123  1 Ge 2.29
58 Ge 0.1250 0.3750 0.2500  4 S 2.29
59 S 0.8782 0.2881 0.4758  1 Ge 2.29
60 Ge 0.6250 0.7500 0.8750  4 S 2.29
61 Ge 0.2500 0.8750 0.1250  4 S 2.29
62 S 0.9758 0.3782 0.2881  1 Ge 2.29
63 S 0.1218 0.4099 0.0976  1 Ge 2.29
64 S 0.1877 0.0901 0.7119  1 Ge 2.29
65 S 0.7119 0.1218 0.0242  1 Ge 2.29
66 Ac 0.8750 0.7500 0.1250  8 S 3.07-3.14
67 S 0.9024 0.0901 0.8782  1 Ge 2.29
68 S 0.9758 0.5976 0.1877  1 Ge 2.29
69 Ac 0.7500 0.3750 0.1250  8 S 3.07-3.14
70 S 0.4758 0.6877 0.0976  1 Ge 2.29
71 S 0.1218 0.7119 0.5242  1 Ge 2.29
72 Ge 0.5000 0.0000 0.5000  6 S 2.67
73 S 0.5901 0.7119 0.6877  1 Ge 2.29
74 S 0.6218 0.0242 0.2119  1 Ge 2.29
75 Ge 0.0000 0.0000 0.0000  6 S 2.67
76 S 0.0242 0.6218 0.7119  1 Ge 2.29
77 S 0.8123 0.9099 0.2881  1 Ge 2.29
78 Ge 0.8750 0.6250 0.7500  4 S 2.29
79 S 0.0901 0.9024 0.3782  1 Ge 2.29
80 S 0.9099 0.0976 0.6218  1 Ge 2.29

Results
The crystal system is cubic. The value obtained for the uncorrected formation energy is -0.99 eV/atom. For the density of states at the Fermi level, the calculation gives 0.224 states/eV/atom.

A relaxed Sm2RuCl crystal, computed with GGA-PBE.

a b c (Å): 4.0180 4.0180 7.8814
angles (deg): 75.18 75.18 59.78
Closest atoms and distances in Å follow each position.
Element x y z (fractional)
1 Ru 0.0000 0.0000 0.0000  6 Sm 2.78-2.79
2 Sm 0.2638 0.2638 0.2049  3 Ru 2.78-2.79
3 Cl 0.5000 0.5000 0.5000  6 Sm 3.21-3.22
4 Sm 0.7362 0.7362 0.7951  3 Ru 2.78-2.79

Results
Its energy relative to the lowest polymorph listed for this composition is 0.206 eV per formula unit. The crystal system is monoclinic. The value obtained for the uncorrected formation energy is -0.85 eV/atom. For the density of states at the Fermi level, the calculation gives 0.645 states/eV/atom.

A relaxed Nd5Dy3Y2 crystal, computed with GGA-PBE.

a b c (Å): 6.4953 11.0931 11.0931
angles (deg): 102.71 72.98 72.98
Closest atoms and distances in Å follow each position.
Element x y z (fractional)
1 Nd 0.4119 0.2562 0.9201  3 Dy 3.37-3.50, 1 Y 3.58
2 Nd 0.5881 0.7438 0.0799  3 Dy 3.37-3.50, 1 Y 3.58
3 Nd 0.4978 0.7522 0.7522  3 Dy 3.03-3.35, 3 Nd 3.09-3.25
4 Dy 0.7379 0.4307 0.0935  3 Nd 3.35-3.37, 3 Y 3.48-3.70
5 Dy 0.2621 0.5693 0.9065  3 Nd 3.35-3.37, 3 Y 3.48-3.70
6 Nd 0.2500 0.5000 0.5000  4 Nd 3.09-3.25
7 Nd 0.9119 0.9201 0.2562  3 Dy 3.37-3.50, 1 Y 3.58
8 Dy 0.7500 0.0000 0.0000  2 Nd 3.03, 2 Dy 3.25
9 Y 0.9071 0.4229 0.7628  3 Dy 3.48-3.70, 5 Nd 3.55-3.89
10 Dy 0.2500 0.0000 0.0000  2 Nd 3.03, 2 Dy 3.25
11 Dy 0.7621 0.9065 0.5693  3 Nd 3.35-3.37, 3 Y 3.48-3.70
12 Y 0.0929 0.5771 0.2372  3 Dy 3.48-3.70, 5 Nd 3.55-3.89
13 Nd 0.7500 0.5000 0.5000  4 Nd 3.09-3.25
14 Nd 0.5022 0.2478 0.2478  3 Dy 3.03-3.35, 3 Nd 3.09-3.25
15 Nd 0.0022 0.2478 0.2478  3 Dy 3.03-3.35, 3 Nd 3.09-3.25
16 Y 0.5929 0.2372 0.5771  3 Dy 3.48-3.70, 5 Nd 3.55-3.89
17 Nd 0.0881 0.0799 0.7438  3 Dy 3.37-3.50, 1 Y 3.58
18 Y 0.4071 0.7628 0.4229  3 Dy 3.48-3.70, 5 Nd 3.55-3.89
19 Dy 0.2379 0.0935 0.4307  3 Nd 3.35-3.37, 3 Y 3.48-3.70
20 Nd 0.9978 0.7522 0.7522  3 Dy 3.03-3.35, 3 Nd 3.09-3.25

Results
Its energy relative to the lowest polymorph listed for this composition is 1.141 eV per formula unit. The crystal system is orthorhombic. The value obtained for the formation energy is 6.7 kcal/mol of atoms. For the density of states at the Fermi level, the calculation gives 1.447 states/eV/atom.

A relaxed SrBePd3 crystal, computed with GGA-PBE.

a b c (Å): 5.1303 5.1303 5.1303
angles (deg): 90.00 90.00 90.00
Closest atoms and distances in Å follow each position.
Element x y z (fractional)
1 Sr 0.0000 0.0000 0.0000  6 Pd 2.57
2 Pd 0.5000 0.0000 0.0000  2 Sr 2.57
3 Pd 0.0000 0.0000 0.5000  2 Sr 2.57
4 Be 0.5000 0.5000 0.5000  12 Pd 3.63
5 Pd 0.0000 0.5000 0.0000  2 Sr 2.57

Results
Its energy relative to the lowest polymorph listed for this composition is 9.438 eV per formula unit. The crystal system is cubic. The value obtained for the formation energy is 31.1 kcal/mol of atoms. For the density of states at the Fermi level, the calculation gives 0.301 states/eV/atom.

A relaxed Dy2Er6Tm3Sc crystal, computed with GGA-PBE.

a b c (Å): 6.0356 6.0356 11.5654
angles (deg): 94.98 94.98 119.94
Closest atoms and distances in Å follow each position.
Element x y z (fractional)
1 Dy 0.6666 0.3334 0.0000  3 Dy 3.48-3.49, 6 Er 3.48, 3 Sc 3.48-3.49
2 Er 0.2486 0.2486 0.7507  6 Er 3.46-3.50, 1 Sc 3.47, 2 Dy 3.48, 3 Tm 3.49-3.50
3 Tm 0.8336 0.1664 0.5000  6 Tm 3.48-3.49, 6 Er 3.49-3.50
4 Tm 0.1664 0.8336 0.5000  6 Tm 3.48-3.49, 6 Er 3.49-3.50
5 Er 0.0826 0.4138 0.2491  6 Er 3.46-3.50, 1 Sc 3.47, 2 Dy 3.48, 3 Tm 3.49-3.50
6 Er 0.9174 0.5862 0.7509  6 Er 3.46-3.50, 1 Sc 3.47, 2 Dy 3.48, 3 Tm 3.49-3.50
7 Tm 0.5000 0.5000 0.5000  6 Tm 3.49, 6 Er 3.49-3.50
8 Er 0.5862 0.9174 0.7509  6 Er 3.46-3.50, 1 Sc 3.47, 2 Dy 3.48, 3 Tm 3.49-3.50
9 Er 0.7514 0.7514 0.2493  6 Er 3.46-3.50, 1 Sc 3.47, 2 Dy 3.48, 3 Tm 3.49-3.50
10 Sc 0.0000 0.0000 0.0000  6 Er 3.47, 6 Dy 3.48-3.49
11 Er 0.4138 0.0826 0.2491  6 Er 3.46-3.50, 1 Sc 3.47, 2 Dy 3.48, 3 Tm 3.49-3.50
12 Dy 0.3334 0.6666 0.0000  3 Dy 3.48-3.49, 6 Er 3.48, 3 Sc 3.48-3.49

Results
The crystal system is monoclinic. The value obtained for the formation energy is 0.7 kcal/mol of atoms. For the density of states at the Fermi level, the calculation gives 1.430 states/eV/atom.

A relaxed Ce2Pm3Se6 crystal, computed with GGA-PBE.

a b c (Å): 7.2449 7.2390 7.2789
angles (deg): 80.44 70.61 59.97
Closest atoms and distances in Å follow each position.
Element x y z (fractional)
1 Se 0.7483 0.0000 0.7459  3 Pm 2.95-3.00, 2 Ce 2.95
2 Se 0.5833 0.3316 0.2504  3 Pm 2.96-2.99, 2 Ce 2.97
3 Se 0.4167 0.6684 0.7496  3 Pm 2.96-2.99, 2 Ce 2.97
4 Pm 0.3357 0.3286 0.0000  6 Se 2.95-2.99
5 Pm 0.0000 0.0000 0.0000  6 Se 2.96-3.00
6 Se 0.0851 0.3316 0.7496  3 Pm 2.96-2.99, 2 Ce 2.97
7 Pm 0.6643 0.6714 0.0000  6 Se 2.95-2.99
8 Ce 0.1662 0.6676 0.5000  6 Se 2.95-2.97
9 Ce 0.8338 0.3324 0.5000  6 Se 2.95-2.97
10 Se 0.9149 0.6684 0.2504  3 Pm 2.96-2.99, 2 Ce 2.97
11 Se 0.2517 0.0000 0.2541  3 Pm 2.95-3.00, 2 Ce 2.95

Results
The crystal system is monoclinic. The value obtained for the uncorrected formation energy is -1.87 eV/atom. For the density of states at the Fermi level, the calculation gives 1.427 states/eV/atom.

A relaxed CrAgSb2 crystal, computed with GGA-PBE.

a b c (Å): 3.0800 3.7521 8.2395
angles (deg): 81.96 90.00 90.00
Closest atoms and distances in Å follow each position.
Element x y z (fractional)
1 Sb 0.0000 0.3064 0.5495  4 Cr 2.91-2.94, 2 Ag 2.94, 2 Sb 3.08
2 Ag 0.5000 0.2500 0.2500  4 Sb 2.94, 2 Ag 3.08
3 Sb 0.0000 0.1936 0.9505  4 Cr 2.91-2.94, 2 Ag 2.94, 2 Sb 3.08
4 Cr 0.5000 0.7500 0.7500  8 Sb 2.91-2.94, 2 Cr 3.08

Results
Its energy relative to the lowest polymorph listed for this composition is 0.128 eV per formula unit. The crystal system is monoclinic. The value obtained for the uncorrected formation energy is 0.24 eV/atom. For the density of states at the Fermi level, the calculation gives 0.481 states/eV/atom.

A relaxed Nd2TaN3 crystal, computed with GGA-PBE.

a b c (Å): 5.5816 6.2498 12.3607
angles (deg): 88.10 85.73 63.48
Closest atoms and distances in Å follow each position.
Element x y z (fractional)
1 Nd 0.8899 0.7707 0.4222  3 N 2.44-2.61
2 Nd 0.9788 0.6017 0.8592  5 N 2.50-2.76
3 Nd 0.5806 0.3983 0.3592  5 N 2.50-2.76
4 Ta 0.7013 0.0066 0.1700  4 N 1.98-2.16
5 N 0.1343 0.3440 0.3837  1 Ta 2.00
6 N 0.3294 0.7999 0.4592  1 Ta 1.98
7 N 0.0087 0.9827 0.7500  2 Ta 1.99
8 Nd 0.1101 0.2293 0.5778  3 N 2.44-2.61
9 N 0.9913 0.0173 0.2500  2 Ta 1.99
10 N 0.8657 0.6560 0.6163  1 Ta 2.00
11 N 0.3600 0.2801 0.7500  2 Ta 2.16
12 N 0.8707 0.7999 0.0408  1 Ta 1.98
13 Ta 0.7079 0.9934 0.6700  4 N 1.98-2.16
14 Ta 0.2987 0.9934 0.8300  4 N 1.98-2.16
15 Nd 0.4194 0.6017 0.6408  5 N 2.50-2.76
16 Nd 0.6606 0.2293 0.9222  3 N 2.44-2.61
17 N 0.1293 0.2001 0.9592  1 Ta 1.98
18 N 0.5217 0.3440 0.1163  1 Ta 2.00
19 Nd 0.3394 0.7707 0.0778  3 N 2.44-2.61
20 Nd 0.0212 0.3983 0.1408  5 N 2.50-2.76
21 N 0.4783 0.6560 0.8837  1 Ta 2.00
22 N 0.6706 0.2001 0.5408  1 Ta 1.98
23 Ta 0.2921 0.0066 0.3300  4 N 1.98-2.16
24 N 0.6400 0.7199 0.2500  2 Ta 2.16

Results
Its energy relative to the lowest polymorph listed for this composition is 0.000 eV per formula unit. The crystal system is monoclinic. The value obtained for the uncorrected formation energy is -1.27 eV/atom. For the density of states at the Fermi level, the calculation gives 0.165 states/eV/atom.

A relaxed Tl3VPd crystal, computed with GGA-PBE.

a b c (Å): 5.2972 5.2972 5.2972
angles (deg): 90.00 90.00 90.00
Closest atoms and distances in Å follow each position.
Element x y z (fractional)
1 V 0.5000 0.5000 0.5000  12 Tl 3.75
2 Tl 0.0000 0.5000 0.0000  2 Pd 2.65
3 Tl 0.0000 0.0000 0.5000  2 Pd 2.65
4 Tl 0.5000 0.0000 0.0000  2 Pd 2.65
5 Pd 0.0000 0.0000 0.0000  6 Tl 2.65

Results
Its energy relative to the lowest polymorph listed for this composition is 0.000 eV per formula unit. The crystal system is cubic. The value obtained for the formation energy is 15.2 kcal/mol of atoms. For the density of states at the Fermi level, the calculation gives 1.958 states/eV/atom.

A relaxed TaIr3Se crystal, computed with GGA-PBE.

a b c (Å): 4.5543 4.5543 4.5543
angles (deg): 90.00 90.00 90.00
Closest atoms and distances in Å follow each position.
Element x y z (fractional)
1 Se 0.0000 0.0000 0.0000  6 Ir 2.28
2 Ta 0.5000 0.5000 0.5000  12 Ir 3.22
3 Ir 0.0000 0.5000 0.0000  2 Se 2.28
4 Ir 0.5000 0.0000 0.0000  2 Se 2.28
5 Ir 0.0000 0.0000 0.5000  2 Se 2.28

Results
Its energy relative to the lowest polymorph listed for this composition is 0.000 eV per formula unit. The crystal system is cubic. The value obtained for the uncorrected formation energy is 1.30 eV/atom. For the density of states at the Fermi level, the calculation gives 2.747 states/eV/atom.